# 1
# LaTm2In GGA-PBE relaxed
# Total energy: -4.38 eV/atom
# Mass density: 8.2 g/cm³
# Distance to the lowest polymorph of the same formula: 13 meV per atom
data_LaTm2In
_chemical_formula_sum 'La1 Tm2 In1'
_space_group_name_H-M_alt 'P 4/m m m'
_space_group_IT_number 123
_space_group_name_Hall '-P 4 2'
_cell_length_a 3.601
_cell_length_b 3.601
_cell_length_c 9.209
_cell_angle_alpha 90.00
_cell_angle_beta 90.00
_cell_angle_gamma 90.00
loop_
_atom_site_label
_atom_site_type_symbol
_atom_site_fract_x
_atom_site_fract_y
_atom_site_fract_z
La1 La 0.000 0.000 0.000
Tm1 Tm 0.500 0.500 0.282
In1 In 0.000 0.000 0.500

---

# 2
# La2TmIn GGA-PBE relaxed
# Total energy: -4.53 eV/atom
# Mass density: 7.6 g/cm³
# Distance to the lowest polymorph of the same formula: 6 meV per atom
data_La2TmIn
_chemical_formula_sum 'La4 Tm2 In2'
_space_group_name_H-M_alt 'P m m n'
_space_group_IT_number 59
_cell_length_a 5.746
_cell_length_b 6.882
_cell_length_c 6.167
_cell_angle_alpha 90.00
_cell_angle_beta 90.00
_cell_angle_gamma 90.00
loop_
_space_group_symop_operation_xyz
'x,y,z'
'-x,-y,-z'
'-x+1/2,-y+1/2,z'
'x+1/2,y+1/2,-z'
'x+1/2,-y,-z'
'-x+1/2,y,z'
'-x,y+1/2,-z'
'x,-y+1/2,z'
loop_
_atom_site_label
_atom_site_type_symbol
_atom_site_fract_x
_atom_site_fract_y
_atom_site_fract_z
La1 La 0.250 0.005 0.137
Tm1 Tm 0.250 0.250 0.627
In1 In 0.250 0.750 0.649

---

# 3
# La2TmIn GGA-PBE relaxed
# Total energy: -4.37 eV/atom
# Mass density: 7.1 g/cm³
# Distance to the lowest polymorph of the same formula: 165 meV per atom
data_La2TmIn
_chemical_formula_sum 'La6 Tm3 In3'
_space_group_name_H-M_alt 'R 3 m'
_space_group_IT_number 160
_space_group_name_Hall 'R 3 -2"'
_cell_length_a 3.6788
_cell_length_b 3.6788
_cell_length_c 33.7696
_cell_angle_alpha 90.00
_cell_angle_beta 90.00
_cell_angle_gamma 120.00
loop_
_atom_site_label
_atom_site_type_symbol
_atom_site_fract_x
_atom_site_fract_y
_atom_site_fract_z
La1 La 0.0000 0.0000 0.0000
La2 La 0.0000 0.0000 0.1722
Tm1 Tm 0.0000 0.0000 0.7526
In1 In 0.0000 0.0000 0.5862

---

# 4
# La9Tm4In11 GGA-PBE relaxed
# Total energy: -4.27 eV/atom
# Mass density: 7.5 g/cm³
data_La9Tm4In11
_chemical_formula_sum 'La18 Tm8 In22'
_space_group_name_H-M_alt 'C m m m'
_space_group_IT_number 65
_space_group_name_Hall '-C 2 2'
_cell_length_a 17.679
_cell_length_b 23.065
_cell_length_c 3.474
_cell_angle_alpha 90.00
_cell_angle_beta 90.00
_cell_angle_gamma 90.00
loop_
_atom_site_label
_atom_site_type_symbol
_atom_site_fract_x
_atom_site_fract_y
_atom_site_fract_z
La1 La 0.000 0.000 0.000
La2 La 0.109 0.249 0.000
La3 La 0.137 0.419 0.000
Tm1 Tm 0.147 0.100 0.000
In1 In 0.000 0.136 0.500
In2 In 0.000 0.348 0.500
In3 In 0.000 0.500 0.500
In4 In 0.224 0.000 0.500
In5 In 0.248 0.317 0.500